# LiCoP3O9, optimized geometry, DFT GGA-PBEsol
# Calculated volume (Å³/f.u.): 152.04
# E_form (uncorrected) (eV/atom): -1.967
# Energy above the lowest structure with this stoichiometry (eV/f.u.): 0.318
data_LiCoP3O9
_chemical_formula_sum 'Li2 Co2 P6 O18'
_space_group_name_H-M_alt 'P -1'
_space_group_IT_number 2
_space_group_name_Hall '-P 1'
_cell_length_a 6.3916
_cell_length_b 6.8248
_cell_length_c 7.1494
_cell_angle_alpha 102.57
_cell_angle_beta 91.77
_cell_angle_gamma 91.49
loop_
_atom_site_label
_atom_site_type_symbol
_atom_site_fract_x
_atom_site_fract_y
_atom_site_fract_z
Li1 Li 0.1409 0.0800 0.3342
Co1 Co 0.1361 0.5864 0.3717
P1 P 0.1402 0.7214 0.9564
P2 P 0.3480 0.9479 0.7069
P3 P 0.3508 0.3896 0.7176
O1 O 0.0493 0.3146 0.1787
O2 O 0.1114 0.7743 0.1691
O3 O 0.1674 0.8758 0.5632
O4 O 0.1743 0.3949 0.5688
O5 O 0.2870 0.5315 0.9154
O6 O 0.2878 0.8954 0.9093
O7 O 0.3352 0.1849 0.7834
O8 O 0.4336 0.5565 0.3255
O9 O 0.4369 0.1111 0.3426


# MgTeAs2, optimized geometry, DFT GGA-PBEsol
# Calculated volume (Å³/f.u.): 87.56
# E_form (uncorrected) (eV/atom): 0.020
# Energy above the lowest structure with this stoichiometry (eV/f.u.): 0.883
data_MgTeAs2
_chemical_formula_sum 'Mg1 Te1 As2'
_space_group_name_H-M_alt 'P 4/m m m'
_space_group_IT_number 123
_space_group_name_Hall '-P 4 2'
_cell_length_a 3.8457
_cell_length_b 3.8457
_cell_length_c 5.9205
_cell_angle_alpha 90.00
_cell_angle_beta 90.00
_cell_angle_gamma 90.00
loop_
_atom_site_label
_atom_site_type_symbol
_atom_site_fract_x
_atom_site_fract_y
_atom_site_fract_z
Mg1 Mg 0.0000 0.0000 0.0000
Te1 Te 0.0000 0.0000 0.5000
As1 As 0.5000 0.5000 0.2063